w | VASP calculation (PBE) on a geometry-optimized BaTeW3 structure.

density of states at the Fermi level	10.40	states/eV per cell

```
data_BaTeW3
_cell_length_a 5.0691
_cell_length_b 5.0691
_cell_length_c 5.0691
_cell_angle_alpha 90.00
_cell_angle_beta 90.00
_cell_angle_gamma 90.00
_space_group_name_H-M_alt 'P m -3 m'
_space_group_IT_number 221
_space_group_name_Hall '-P 4 2 3'
loop_
_atom_site_label
_atom_site_fract_x
_atom_site_fract_y
_atom_site_fract_z
Ba1 0.0000 0.0000 0.0000
Te1 0.5000 0.5000 0.5000
W1 0.0000 0.0000 0.5000
```

x | VASP calculation (PBE) on a geometry-optimized BaTeW3 structure.

density of states at the Fermi level	5.23	states/eV per cell

```
data_BaTeW3
_cell_length_a 5.0727
_cell_length_b 5.0727
_cell_length_c 5.0727
_cell_angle_alpha 90.00
_cell_angle_beta 90.00
_cell_angle_gamma 90.00
_space_group_name_H-M_alt 'P m -3 m'
_space_group_IT_number 221
_space_group_name_Hall '-P 4 2 3'
loop_
_atom_site_label
_atom_site_fract_x
_atom_site_fract_y
_atom_site_fract_z
Ba1 0.0000 0.0000 0.0000
Te1 0.5000 0.5000 0.5000
W1 0.0000 0.5000 0.5000
```

Ranked by calculated energy, most stable first: x, w.

w | VASP calculation (PBE) on a geometry-optimized BaY3Te structure.

density of states at the Fermi level	9.69	states/eV per cell

```
data_BaY3Te
_cell_length_a 5.8695
_cell_length_b 5.8695
_cell_length_c 5.8695
_cell_angle_alpha 90.00
_cell_angle_beta 90.00
_cell_angle_gamma 90.00
_space_group_name_H-M_alt 'P m -3 m'
_space_group_IT_number 221
_space_group_name_Hall '-P 4 2 3'
loop_
_atom_site_label
_atom_site_fract_x
_atom_site_fract_y
_atom_site_fract_z
Ba1 0.0000 0.0000 0.0000
Y1 0.0000 0.5000 0.5000
Te1 0.5000 0.5000 0.5000
```

x | VASP calculation (PBE) on a geometry-optimized BaY3Te structure.

density of states at the Fermi level	5.33	states/eV per cell

```
data_BaY3Te
_cell_length_a 5.7225
_cell_length_b 5.7225
_cell_length_c 5.7225
_cell_angle_alpha 90.00
_cell_angle_beta 90.00
_cell_angle_gamma 90.00
_space_group_name_H-M_alt 'P m -3 m'
_space_group_IT_number 221
_space_group_name_Hall '-P 4 2 3'
loop_
_atom_site_label
_atom_site_fract_x
_atom_site_fract_y
_atom_site_fract_z
Ba1 0.0000 0.0000 0.0000
Y1 0.0000 0.0000 0.5000
Te1 0.5000 0.5000 0.5000
```

Ranked by calculated energy, most stable first: w, x.